Compound: Nd4IrPt3
Source: Alexandria via LeMat-Bulk
Functional: PBE
Structure: relaxed

- ΔE_f: -1.0182 eV/atom
- Total magnetic moment: 0.00 μB per formula unit

Unit cell a=3.9337 b=4.5080 c=10.9019 alpha=90.00 beta=90.00 gamma=90.00
Fractional coordinates of all 8 atoms:
1 Nd 0.0000 0.0000 0.0000
2 Nd 0.0000 0.5000 0.2729
3 Nd 0.5000 0.0000 0.4894
4 Nd 0.5000 0.5000 0.7719
5 Ir 0.5000 0.0000 0.2204
6 Pt 0.0000 0.0000 0.7213
7 Pt 0.0000 0.5000 0.5496
8 Pt 0.5000 0.5000 0.0481